No. 1
A plane-wave DFT calculation with PBE-GGA was carried out for a relaxed structure of SrP2Au.

total DFT energy (no corrections): -4.26 eV/atom
E_form: -310 meV/atom
V: 175 Å³ per cell
relative energy among the computed polymorphs: 254.9 meV/atom

a b c (Å): 10.3943 3.4562 5.4541
angles (deg): 90.00 117.01 90.00
With the nearest neighbours (Å) after each atom.
Space group Cm (No. 8)
Inequivalent atoms, fractional coordinates:
1 Sr 0.0000 0.0000 0.0000 [2 per cell]  7 P 3.09-3.31, 4 Au 3.22-3.39, 2 Sr 3.46
2 P 0.2813 0.5000 0.3835 [2 per cell]  2 P 2.34
3 P 0.4447 0.0000 0.4435 [2 per cell]  2 P 2.34
4 Au 0.1880 0.0000 0.6600 [2 per cell]  4 P 2.74-2.84

***

No. 2
A plane-wave DFT calculation with PBE-GGA was carried out for a relaxed structure of Sr2PAu.

total DFT energy (no corrections): -3.84 eV/atom
E_form: -823 meV/atom
V: 108 Å³ per cell

a b c (Å): 3.6860 3.8342 7.6457
angles (deg): 90.00 90.00 90.00
With the nearest neighbours (Å) after each atom.
Space group Pmmm (No. 47)
Inequivalent atoms, fractional coordinates:
1 Sr 0.0000 0.0000 0.2252 [2 per cell]  4 P 3.17, 4 Au 3.39, 1 Sr 3.44
2 P 0.5000 0.5000 0.0000 [1 per cell]  8 Sr 3.17
3 Au 0.5000 0.5000 0.5000 [1 per cell]  8 Sr 3.39, 2 Au 3.69

***

No. 3
A plane-wave DFT calculation with PBE-GGA was carried out for a relaxed structure of Sr4PAu.

total DFT energy (no corrections): -3.21 eV/atom
E_form: -639 meV/atom
V: 851 Å³ per cell
relative energy among the computed polymorphs: 0.0 meV/atom

a b c (Å): 16.9534 7.4797 7.4789
angles (deg): 90.00 116.13 90.00
With the nearest neighbours (Å) after each atom.
Space group C2/c (No. 15)
Inequivalent atoms, fractional coordinates:
1 Sr 0.1283 0.0008 0.1275 [8 per cell]  2 P 3.22-3.24, 2 Au 3.29
2 Sr 0.1283 0.4991 0.6290 [8 per cell]  2 P 3.22-3.23, 2 Au 3.29
3 P 0.2500 0.2500 0.0000 [4 per cell]  8 Sr 3.22-3.24
4 Au 0.0000 0.2500 0.2500 [4 per cell]  8 Sr 3.29

***

No. 4
A plane-wave DFT calculation with PBE-GGA was carried out for a relaxed structure of SrP4Au.

total DFT energy (no corrections): -4.49 eV/atom
E_form: -55 meV/atom
V: 508 Å³ per cell

a b c (Å): 7.9815 7.9815 7.9815
angles (deg): 90.00 90.00 90.00
With the nearest neighbours (Å) after each atom.
Space group F-43m (No. 216)
Inequivalent atoms, fractional coordinates:
1 Sr 0.0000 0.0000 0.0000 [4 per cell]  12 P 3.38, 4 Au 3.46
2 P 0.1012 0.1012 0.3988 [16 per cell]  3 P 2.29
3 Au 0.2500 0.2500 0.7500 [4 per cell]  12 P 3.27, 4 Sr 3.46

***

No. 5
A plane-wave DFT calculation with PBE-GGA was carried out for a relaxed structure of Sr2PAu2.

total DFT energy (no corrections): -3.64 eV/atom
E_form: -571 meV/atom
V: 261 Å³ per cell
relative energy among the computed polymorphs: 0.0 meV/atom

a b c (Å): 7.6952 7.6952 4.4147
angles (deg): 90.00 90.00 90.00
With the nearest neighbours (Å) after each atom.
Space group P4/mbm (No. 127)
Inequivalent atoms, fractional coordinates:
1 Sr 0.1822 0.3178 0.0000 [4 per cell]  6 Au 3.04-3.27
2 P 0.0000 0.0000 0.5000 [2 per cell]  4 Au 3.03
3 Au 0.1264 0.6264 0.5000 [4 per cell]  1 Au 2.75, 2 P 3.03, 2 Sr 3.04

***

No. 6
A plane-wave DFT calculation with PBE-GGA was carried out for a relaxed structure of Sr3PAu.

total DFT energy (no corrections): -3.31 eV/atom
E_form: -560 meV/atom
V: 194 Å³ per cell
relative energy among the computed polymorphs: 0.0 meV/atom

a b c (Å): 5.7842 5.7842 5.7842
angles (deg): 90.00 90.00 90.00
With the nearest neighbours (Å) after each atom.
Space group Pm-3m (No. 221)
Inequivalent atoms, fractional coordinates:
1 Sr 0.0000 0.0000 0.5000 [3 per cell]  2 P 2.89
2 P 0.0000 0.0000 0.0000 [1 per cell]  6 Sr 2.89
3 Au 0.5000 0.5000 0.5000 [1 per cell]  12 Sr 4.09

***

No. 7
A plane-wave DFT calculation with PBE-GGA was carried out for a relaxed structure of SrP2Au.

total DFT energy (no corrections): -4.15 eV/atom
E_form: -205 meV/atom
V: 200 Å³ per cell
relative energy among the computed polymorphs: 360.2 meV/atom

a b c (Å): 4.2028 7.1718 6.6262
angles (deg): 90.00 90.00 90.00
With the nearest neighbours (Å) after each atom.
Space group Cmmm (No. 65)
Inequivalent atoms, fractional coordinates:
1 Sr 0.0000 0.0000 0.0000 [2 per cell]  4 P 2.95
2 P 0.0000 0.5000 0.3124 [4 per cell]  2 Au 2.44, 1 P 2.49
3 Au 0.0000 0.0000 0.5000 [2 per cell]  4 P 2.44

***

No. 8
A plane-wave DFT calculation with PBE-GGA was carried out for a relaxed structure of Sr2PAu.

total DFT energy (no corrections): -2.52 eV/atom
E_form: 488 meV/atom
V: 934 Å³ per cell

a b c (Å): 8.7320 9.4495 11.3226
angles (deg): 90.00 90.00 90.00
With the nearest neighbours (Å) after each atom.
Space group Immm (No. 71)
Inequivalent atoms, fractional coordinates:
1 Sr 0.0000 0.0000 0.2347 [4 per cell]  1 P 2.66
2 P 0.0000 0.0000 0.0000 [2 per cell]  2 Sr 2.66
3 Au 0.0000 0.0000 0.5000 [2 per cell]  2 Sr 3.00

***

No. 9
A plane-wave DFT calculation with PBE-GGA was carried out for a relaxed structure of Sr2PAu.

total DFT energy (no corrections): -3.89 eV/atom
E_form: -881 meV/atom
V: 388 Å³ per cell

a b c (Å): 4.4420 4.4420 22.7132
angles (deg): 90.00 90.00 120.00
With the nearest neighbours (Å) after each atom.
Space group R3m (No. 160, hexagonal axes)
Inequivalent atoms, fractional coordinates:
1 Sr 0.0000 0.0000 0.0000 [3 per cell]  3 P 3.00
2 Sr 0.0000 0.0000 0.1945 [3 per cell]  3 P 3.02
3 P 0.0000 0.0000 0.5981 [3 per cell]  6 Sr 3.00-3.02
4 Au 0.0000 0.0000 0.7635 [3 per cell]  6 Sr 3.38-3.39, 1 P 3.76

***

No. 10
A plane-wave DFT calculation with PBE-GGA was carried out for a relaxed structure of Sr2PAu.

total DFT energy (no corrections): -3.92 eV/atom
E_form: -904 meV/atom
V: 385 Å³ per cell

a b c (Å): 4.5146 4.5146 21.8109
angles (deg): 90.00 90.00 120.00
With the nearest neighbours (Å) after each atom.
Space group R-3m (No. 166, hexagonal axes)
Inequivalent atoms, fractional coordinates:
1 Sr 0.0000 0.0000 0.2374 [6 per cell]  3 P 3.03, 3 Au 3.34
2 P 0.0000 0.0000 0.5000 [3 per cell]  6 Sr 3.03
3 Au 0.0000 0.0000 0.0000 [3 per cell]  6 Sr 3.34

***

No. 11
A plane-wave DFT calculation with PBE-GGA was carried out for a relaxed structure of SrP2Au.

total DFT energy (no corrections): -4.35 eV/atom
E_form: -405 meV/atom
V: 183 Å³ per cell
relative energy among the computed polymorphs: 160.4 meV/atom

a b c (Å): 4.2242 6.1759 7.0219
angles (deg): 90.00 90.00 90.00
With the nearest neighbours (Å) after each atom.
Space group Immm (No. 71)
Inequivalent atoms, fractional coordinates:
1 Sr 0.0000 0.0000 0.0000 [2 per cell]  8 P 3.10-3.33
2 P 0.0000 0.5000 0.1771 [4 per cell]  2 Au 2.45, 1 P 2.49
3 Au 0.0000 0.0000 0.5000 [2 per cell]  4 P 2.45

***

No. 12
A plane-wave DFT calculation with PBE-GGA was carried out for a relaxed structure of Sr2PAu.

total DFT energy (no corrections): -3.90 eV/atom
E_form: -883 meV/atom
V: 224 Å³ per cell

a b c (Å): 11.5251 4.2765 4.5515
angles (deg): 90.00 90.05 90.00
With the nearest neighbours (Å) after each atom.
Space group Cm (No. 8)
Inequivalent atoms, fractional coordinates:
1 Sr 0.0000 0.0000 0.0000 [2 per cell]  4 P 3.18, 3 Au 3.28
2 Sr 0.2269 0.5000 0.5008 [2 per cell]  4 Au 3.19, 3 P 3.23-3.31
3 P 0.4464 0.0000 0.4997 [2 per cell]  2 Au 2.94-2.95, 5 Sr 3.18-3.23
4 Au 0.2845 0.0000 0.0014 [2 per cell]  2 P 2.94-2.95, 7 Sr 3.19-3.28

***

No. 13
A plane-wave DFT calculation with PBE-GGA was carried out for a relaxed structure of Sr3P3Au2.

total DFT energy (no corrections): -4.27 eV/atom
E_form: -789 meV/atom
V: 783 Å³ per cell

a b c (Å): 4.4262 11.5686 15.2944
angles (deg): 90.00 90.00 90.00
With the nearest neighbours (Å) after each atom.
Space group Cmcm (No. 63)
Inequivalent atoms, fractional coordinates:
1 Sr 0.0000 0.0636 0.2500 [4 per cell]  4 Au 3.17, 5 P 3.22-3.41
2 Sr 0.0000 0.3442 0.1033 [8 per cell]  5 P 3.16-3.27, 4 Au 3.28-3.34
3 P 0.0000 0.0837 0.0402 [8 per cell]  1 P 2.30, 2 Au 2.51
4 P 0.0000 0.2315 0.7500 [4 per cell]  2 Au 2.69
5 Au 0.0000 0.3722 0.6100 [8 per cell]  3 P 2.51-2.69